No. 1
Compound: HoPu2Au3
Source: the Alexandria database
Functional: PBE-GGA
Structure: optimized geometry

Unit cell a=3.5328 b=3.5328 c=11.3800 alpha=90.00 beta=90.00 gamma=90.00
Last column: nearest neighbours and their distance in Å.
Fractional positions:
Ho1 0.0000 0.0000 0.0000  8 Au 3.04
Pu1 0.0000 0.0000 0.3302  8 Au 3.16-3.22, 4 Pu 3.53
Pu2 0.0000 0.0000 0.6698  8 Au 3.16-3.22, 4 Pu 3.53
Au1 0.5000 0.5000 0.1520  4 Ho 3.04, 4 Pu 3.22
Au2 0.5000 0.5000 0.5000  8 Pu 3.16, 4 Au 3.53
Au3 0.5000 0.5000 0.8480  4 Ho 3.04, 4 Pu 3.22

Computed properties:
E_tot: -7.73 eV/atom
N(E_F): 18.95 states/eV/cell

***

No. 2
Compound: Ti8As2C3
Source: the Alexandria database
Functional: PBE-GGA
Structure: optimized geometry

Unit cell a=6.8125 b=6.8125 c=5.5566 alpha=104.72 beta=104.72 gamma=54.79
Last column: nearest neighbours and their distance in Å.
Fractional positions:
Ti1 0.0925 0.0925 0.4169  2 C 2.10
Ti2 0.1577 0.6488 0.1123  2 C 2.13-2.14
Ti3 0.3512 0.8423 0.8877  2 C 2.13-2.14
Ti4 0.4053 0.4053 0.6092  3 C 2.09-2.15
Ti5 0.5947 0.5947 0.3908  3 C 2.09-2.15
Ti6 0.6488 0.1577 0.1123  2 C 2.13-2.14
Ti7 0.8423 0.3512 0.8877  2 C 2.13-2.14
Ti8 0.9075 0.9075 0.5831  2 C 2.10
As1 0.2441 0.2441 0.1894  6 Ti 2.51-2.61
As2 0.7559 0.7559 0.8106  6 Ti 2.51-2.61
C1 0.2597 0.7403 0.5000  6 Ti 2.09-2.14
C2 0.5000 0.5000 0.0000  6 Ti 2.13-2.15
C3 0.7403 0.2597 0.5000  6 Ti 2.09-2.14

Computed properties:
E_tot: -8.32 eV/atom
N(E_F): 12.11 states/eV/cell

***

No. 3
Compound: Ac3Mn2CdN6
Source: the Alexandria database
Functional: PBE-GGA
Structure: optimized geometry

Unit cell a=5.9388 b=5.9388 c=6.9118 alpha=90.00 beta=90.00 gamma=120.00
Last column: nearest neighbours and their distance in Å.
Fractional positions:
Ac1 0.0000 0.0000 0.0000  6 N 2.60
Ac2 0.3333 0.6667 0.6788  9 N 2.99-3.24, 1 Mn 3.17
Ac3 0.6667 0.3333 0.3212  9 N 2.99-3.24, 1 Mn 3.17
Mn1 0.3333 0.6667 0.2208  3 N 1.71
Mn2 0.6667 0.3333 0.7792  3 N 1.71
Cd1 0.0000 0.0000 0.5000  6 N 2.34
N1 0.1713 0.3426 0.2775  1 Mn 1.71
N2 0.1713 0.8287 0.2775  1 Mn 1.71
N3 0.3426 0.1713 0.7225  1 Mn 1.71
N4 0.6574 0.8287 0.2775  1 Mn 1.71
N5 0.8287 0.1713 0.7225  1 Mn 1.71
N6 0.8287 0.6574 0.7225  1 Mn 1.71

Computed properties:
E_tot: -7.36 eV/atom
formation energy without anion corrections: -561 meV per atom
N(E_F): 4.88 states/eV/cell

***

No. 4
Compound: Cd2CuRh
Source: the Alexandria database
Functional: PBE-GGA
Structure: optimized geometry

Unit cell a=2.9782 b=3.8468 c=5.9124 alpha=90.00 beta=90.00 gamma=90.00
Last column: nearest neighbours and their distance in Å.
Fractional positions:
Cd1 0.0000 0.0000 0.0000  1 Cu 2.69, 4 Rh 2.81, 2 Cd 2.98
Cd2 0.5000 0.5000 0.3014  1 Rh 2.73, 4 Cu 2.83, 6 Cd 2.98-3.02
Cu1 0.0000 0.0000 0.5450  5 Cd 2.69-2.83, 4 Rh 2.75, 2 Cu 2.98
Rh1 0.5000 0.5000 0.7637  5 Cd 2.73-2.81, 4 Cu 2.75, 2 Rh 2.98

Computed properties:
E_tot: -3.29 eV/atom
N(E_F): 2.51 states/eV/cell

***

No. 5
Compound: PrGa4Cu2Ir
Source: the Alexandria database
Functional: PBE-GGA
Structure: optimized geometry

Unit cell a=9.4040 b=9.4040 c=9.4040 alpha=25.89 beta=25.89 gamma=25.89
Last column: nearest neighbours and their distance in Å.
Fractional positions:
Pr1 0.0000 0.0000 0.0000  6 Ga 3.09
Ga1 0.1302 0.1302 0.1302  3 Cu 2.61, 3 Ir 2.63
Ga2 0.4034 0.4034 0.4034  3 Cu 2.53, 1 Ir 2.63
Ga3 0.5966 0.5966 0.5966  3 Cu 2.53, 1 Ir 2.63
Ga4 0.8698 0.8698 0.8698  3 Cu 2.61, 3 Ir 2.63
Cu1 0.2379 0.2379 0.2379  6 Ga 2.53-2.61
Cu2 0.7621 0.7621 0.7621  6 Ga 2.53-2.61
Ir1 0.5000 0.5000 0.5000  8 Ga 2.63

Computed properties:
E_tot: -4.59 eV/atom
N(E_F): 3.88 states/eV/cell

***

No. 6
Compound: MgScTc2
Source: the Alexandria database
Functional: PBE-GGA
Structure: optimized geometry

Unit cell a=6.4093 b=6.4093 c=6.4093 alpha=90.00 beta=90.00 gamma=90.00
Last column: nearest neighbours and their distance in Å.
Fractional positions:
Mg1 0.0000 0.0000 0.0000  4 Tc 2.78, 4 Sc 2.78
Mg2 0.0000 0.5000 0.5000  4 Tc 2.78, 4 Sc 2.78
Mg3 0.5000 0.0000 0.5000  4 Tc 2.78, 4 Sc 2.78
Mg4 0.5000 0.5000 0.0000  4 Tc 2.78, 4 Sc 2.78
Sc1 0.2500 0.2500 0.2500  4 Tc 2.78, 4 Mg 2.78
Sc2 0.2500 0.7500 0.7500  4 Tc 2.78, 4 Mg 2.78
Sc3 0.7500 0.2500 0.7500  4 Tc 2.78, 4 Mg 2.78
Sc4 0.7500 0.7500 0.2500  4 Tc 2.78, 4 Mg 2.78
Tc1 0.0000 0.0000 0.5000  4 Tc 2.78, 4 Sc 2.78
Tc2 0.0000 0.5000 0.0000  4 Tc 2.78, 4 Sc 2.78
Tc3 0.2500 0.2500 0.7500  4 Tc 2.78, 4 Mg 2.78
Tc4 0.2500 0.7500 0.2500  4 Tc 2.78, 4 Mg 2.78
Tc5 0.5000 0.0000 0.0000  4 Tc 2.78, 4 Sc 2.78
Tc6 0.5000 0.5000 0.5000  4 Tc 2.78, 4 Sc 2.78
Tc7 0.7500 0.2500 0.2500  4 Tc 2.78, 4 Mg 2.78
Tc8 0.7500 0.7500 0.7500  4 Tc 2.78, 4 Mg 2.78

Computed properties:
E_tot: -7.16 eV/atom
N(E_F): 13.95 states/eV/cell

***

No. 7
Compound: SmHoNiRu
Source: the Alexandria database
Functional: PBE-GGA
Structure: optimized geometry

Unit cell a=3.4147 b=3.4147 c=6.8672 alpha=90.00 beta=90.00 gamma=90.00
Last column: nearest neighbours and their distance in Å.
Fractional positions:
Sm1 0.0000 0.0000 0.0000  4 Ru 2.99, 4 Ni 3.02
Ho1 0.0000 0.0000 0.4974  4 Ni 2.92, 4 Ru 2.93
Ni1 0.5000 0.5000 0.7365  4 Ho 2.92, 4 Sm 3.02
Ru1 0.5000 0.5000 0.2568  4 Ho 2.93, 4 Sm 2.99

Computed properties:
E_tot: -6.44 eV/atom
N(E_F): 2.41 states/eV/cell

***

No. 8
Compound: MgPbBr2
Source: the Alexandria database
Functional: PBE-GGA
Structure: optimized geometry

Unit cell a=12.4920 b=3.5316 c=6.1050 alpha=90.00 beta=102.43 gamma=90.00
Last column: nearest neighbours and their distance in Å.
Fractional positions:
Mg1 0.0000 0.0000 0.0000  4 Br 2.65-2.69
Mg2 0.5000 0.5000 0.0000  4 Br 2.65-2.69
Pb1 0.3137 0.0000 0.6383  1 Br 2.99, 2 Mg 3.35
Pb2 0.8137 0.5000 0.6383  1 Br 2.99, 2 Mg 3.35
Br1 0.1505 0.5000 0.9497  2 Mg 2.65
Br2 0.4553 0.0000 0.3009  2 Mg 2.69, 1 Pb 2.99
Br3 0.6505 0.0000 0.9497  2 Mg 2.65
Br4 0.9553 0.5000 0.3009  2 Mg 2.69, 1 Pb 2.99

Computed properties:
E_tot: -2.89 eV/atom
energy relative to the lowest polymorph listed for this composition: 0.185 eV/atom
formation energy without anion corrections: -729 meV per atom
N(E_F): 0.33 states/eV/cell

***

No. 9
Compound: LaTbHf
Source: the Alexandria database
Functional: PBE-GGA
Structure: optimized geometry

Unit cell a=3.4416 b=3.4416 c=8.5632 alpha=90.00 beta=90.00 gamma=120.00
Last column: nearest neighbours and their distance in Å.
Fractional positions:
La1 0.0000 0.0000 0.0000  3 Hf 3.37, 6 La 3.44
Tb1 0.3333 0.6667 0.6214  3 Hf 3.27, 6 Tb 3.44
Hf1 0.6667 0.3333 0.3177  3 Tb 3.27, 3 La 3.37, 6 Hf 3.44

Computed properties:
E_tot: -6.33 eV/atom
energy relative to the lowest polymorph listed for this composition: 0.060 eV/atom
N(E_F): 4.15 states/eV/cell

***

No. 10
Compound: ZnHg2Cl6
Source: the Alexandria database
Functional: PBE-GGA
Structure: optimized geometry

Unit cell a=9.7830 b=9.7830 c=6.7622 alpha=106.76 beta=106.76 gamma=91.07
Last column: nearest neighbours and their distance in Å.
Fractional positions:
Zn1 0.1992 0.8008 0.7500  4 Cl 2.24-2.38
Zn2 0.8008 0.1992 0.2500  4 Cl 2.24-2.38
Hg1 0.1773 0.3575 0.5181  2 Cl 2.39-2.45
Hg2 0.3575 0.1773 0.0181  2 Cl 2.39-2.45
Hg3 0.6425 0.8227 0.9819  2 Cl 2.39-2.45
Hg4 0.8227 0.6425 0.4819  2 Cl 2.39-2.45
Cl1 0.0189 0.2105 0.1628  1 Zn 2.38, 1 Hg 2.45
Cl2 0.1531 0.6206 0.4384  1 Zn 2.24
Cl3 0.2105 0.0189 0.6628  1 Zn 2.38, 1 Hg 2.45
Cl4 0.2873 0.4289 0.9020  1 Hg 2.39
Cl5 0.3794 0.8469 0.0616  1 Zn 2.24
Cl6 0.4289 0.2873 0.4020  1 Hg 2.39
Cl7 0.5711 0.7127 0.5980  1 Hg 2.39
Cl8 0.6206 0.1531 0.9384  1 Zn 2.24
Cl9 0.7127 0.5711 0.0980  1 Hg 2.39
Cl10 0.7895 0.9811 0.3372  1 Zn 2.38, 1 Hg 2.45
Cl11 0.8469 0.3794 0.5616  1 Zn 2.24
Cl12 0.9811 0.7895 0.8372  1 Zn 2.38, 1 Hg 2.45

Computed properties:
E_tot: -2.20 eV/atom
energy relative to the lowest polymorph listed for this composition: 0.000 eV/atom
formation energy without anion corrections: -757 meV per atom
N(E_F): 0.00 states/eV/cell

***

No. 11
Compound: HfTaNiIr
Source: the Alexandria database
Functional: PBE-GGA
Structure: optimized geometry

Unit cell a=6.3889 b=6.3889 c=6.3889 alpha=90.00 beta=90.00 gamma=90.00
Last column: nearest neighbours and their distance in Å.
Fractional positions:
Hf1 0.0000 0.0000 0.0000  4 Ir 2.77, 4 Ni 2.77
Hf2 0.0000 0.5000 0.5000  4 Ir 2.77, 4 Ni 2.77
Hf3 0.5000 0.0000 0.5000  4 Ir 2.77, 4 Ni 2.77
Hf4 0.5000 0.5000 0.0000  4 Ir 2.77, 4 Ni 2.77
Ta1 0.0000 0.0000 0.5000  4 Ni 2.77, 4 Ir 2.77
Ta2 0.0000 0.5000 0.0000  4 Ni 2.77, 4 Ir 2.77
Ta3 0.5000 0.0000 0.0000  4 Ni 2.77, 4 Ir 2.77
Ta4 0.5000 0.5000 0.5000  4 Ni 2.77, 4 Ir 2.77
Ni1 0.2500 0.2500 0.2500  4 Hf 2.77, 4 Ta 2.77
Ni2 0.2500 0.7500 0.7500  4 Hf 2.77, 4 Ta 2.77
Ni3 0.7500 0.2500 0.7500  4 Hf 2.77, 4 Ta 2.77
Ni4 0.7500 0.7500 0.2500  4 Hf 2.77, 4 Ta 2.77
Ir1 0.2500 0.2500 0.7500  4 Ta 2.77, 4 Hf 2.77
Ir2 0.2500 0.7500 0.2500  4 Ta 2.77, 4 Hf 2.77
Ir3 0.7500 0.2500 0.2500  4 Ta 2.77, 4 Hf 2.77
Ir4 0.7500 0.7500 0.7500  4 Ta 2.77, 4 Hf 2.77

Computed properties:
E_tot: -9.56 eV/atom
N(E_F): 15.22 states/eV/cell

***

No. 12
Compound: Cs5I4Cl
Source: the Alexandria database
Functional: PBE-GGA
Structure: optimized geometry

Unit cell a=14.5301 b=14.5301 c=14.5301 alpha=158.68 beta=149.15 gamma=37.81
Last column: nearest neighbours and their distance in Å.
Fractional positions:
Cs1 0.0000 0.0000 0.0000  4 I 3.84, 2 Cl 3.87
Cs2 0.2022 0.2022 0.0000  6 I 3.87-3.91
Cs3 0.4119 0.4119 0.0000  2 Cl 3.62, 4 I 3.88-3.97
Cs4 0.5881 0.5881 0.0000  2 Cl 3.62, 4 I 3.88-3.97
Cs5 0.7978 0.7978 0.0000  6 I 3.87-3.91
I1 0.0997 0.5997 0.5000  6 Cs 3.84-3.89
I2 0.3056 0.8056 0.5000  6 Cs 3.87-3.97
I3 0.6944 0.1944 0.5000  6 Cs 3.87-3.97
I4 0.9003 0.4003 0.5000  6 Cs 3.84-3.89
Cl1 0.5000 0.0000 0.5000  6 Cs 3.62-3.87

Computed properties:
E_tot: -2.86 eV/atom
energy relative to the lowest polymorph listed for this composition: 0.000 eV/atom
formation energy without anion corrections: -1624 meV per atom
N(E_F): 0.00 states/eV/cell